# PuHSe2 | Alexandria | PBE | relaxed
# M_tot: 16.7 μB/cell
# Density: 9.015 g/cm³
# E above lowest polymorph: 1368.7 meV per atom
data_PuHSe2
_chemical_formula_sum 'Pu3 H3 Se6'
_cell_length_a 3.1550
_cell_length_b 3.1550
_cell_length_c 25.8275
_cell_angle_alpha 90.00
_cell_angle_beta 90.00
_cell_angle_gamma 120.00
_symmetry_space_group_name_H-M 'R -3 m'
_symmetry_Int_Tables_number 166
_symmetry_space_group_name_Hall '-R 3 2"'
loop_
_atom_site_label
_atom_site_fract_x
_atom_site_fract_y
_atom_site_fract_z
Pu1 0.0000 0.0000 0.0000
H1 0.0000 0.0000 0.5000
Se1 0.0000 0.0000 0.1091

# SrCaGa2Ir | Alexandria | PBE | relaxed
# M_tot: 0.0 μB/cell
# ΔH_f (0 K): -337 meV per atom
# Density: 5.860 g/cm³
data_SrCaGa2Ir
_chemical_formula_sum 'Sr1 Ca1 Ga2 Ir1'
_cell_length_a 4.9411
_cell_length_b 4.9411
_cell_length_c 5.3314
_cell_angle_alpha 90.00
_cell_angle_beta 90.00
_cell_angle_gamma 90.00
_symmetry_space_group_name_H-M 'P 4/m m m'
_symmetry_Int_Tables_number 123
_symmetry_space_group_name_Hall '-P 4 2'
loop_
_atom_site_label
_atom_site_fract_x
_atom_site_fract_y
_atom_site_fract_z
Sr1 0.0000 0.0000 0.0000
Ca1 0.5000 0.5000 0.0000
Ga1 0.0000 0.5000 0.5000
Ir1 0.5000 0.5000 0.5000

# HfPa6 | Alexandria | PBE | relaxed
# M_tot: 0.0 μB/cell
# ΔH_f (0 K): 155 meV per atom
# Density: 15.090 g/cm³
data_HfPa6
_chemical_formula_sum 'Hf3 Pa18'
_cell_length_a 13.5290
_cell_length_b 13.5290
_cell_length_c 3.2589
_cell_angle_alpha 90.00
_cell_angle_beta 90.00
_cell_angle_gamma 120.00
_symmetry_space_group_name_H-M 'R -3'
_symmetry_Int_Tables_number 148
_symmetry_space_group_name_Hall '-R 3'
loop_
_atom_site_label
_atom_site_fract_x
_atom_site_fract_y
_atom_site_fract_z
Hf1 0.0000 0.0000 0.0000
Pa1 0.0217 0.7939 0.7126

# Li3SnHg5 | Alexandria | PBE | relaxed
# M_tot: 0.0 μB/cell
# ΔH_f (0 K): -242 meV per atom
# Density: 9.798 g/cm³
data_Li3SnHg5
_chemical_formula_sum 'Li6 Sn2 Hg10'
_cell_length_a 8.5737
_cell_length_b 8.5737
_cell_length_c 6.0829
_cell_angle_alpha 90.00
_cell_angle_beta 90.00
_cell_angle_gamma 120.00
_symmetry_space_group_name_H-M 'P 63/m c m'
_symmetry_Int_Tables_number 193
_symmetry_space_group_name_Hall '-P 6c 2'
loop_
_atom_site_label
_atom_site_fract_x
_atom_site_fract_y
_atom_site_fract_z
Li1 0.0000 0.3441 0.2500
Sn1 0.0000 0.0000 0.0000
Hg1 0.0000 0.3302 0.7500
Hg2 0.3333 0.6667 0.0000

# Sm6YTm4 | Alexandria | PBE | relaxed
# M_tot: 0.0 μB/cell
# ΔH_f (0 K): 115 meV per atom
# Density: 7.736 g/cm³
# E above lowest polymorph: 0.0 meV per atom
data_Sm6YTm4
_chemical_formula_sum 'Sm24 Y4 Tm16'
_cell_length_a 5.7633
_cell_length_b 9.6607
_cell_length_c 25.7046
_cell_angle_alpha 90.00
_cell_angle_beta 90.00
_cell_angle_gamma 90.00
_symmetry_space_group_name_H-M 'C m c m'
_symmetry_Int_Tables_number 63
_symmetry_space_group_name_Hall '-C 2c 2'
loop_
_atom_site_label
_atom_site_fract_x
_atom_site_fract_y
_atom_site_fract_z
Sm1 0.0000 0.0000 0.0000
Sm2 0.0000 0.0382 0.2500
Sm3 0.0000 0.3068 0.6011
Sm4 0.0000 0.3667 0.1816
Y1 0.0000 0.2981 0.7500
Tm1 0.0000 0.0328 0.1233
Tm2 0.0000 0.3461 0.0439

# KTlCdHg | Alexandria | PBE | relaxed
# M_tot: 0.0 μB/cell
# ΔH_f (0 K): -99 meV per atom
# Density: 7.535 g/cm³
# E above lowest polymorph: 0.0 meV per atom
data_KTlCdHg
_chemical_formula_sum 'K1 Tl1 Cd1 Hg1'
_cell_length_a 3.8379
_cell_length_b 3.8379
_cell_length_c 8.3259
_cell_angle_alpha 90.00
_cell_angle_beta 90.00
_cell_angle_gamma 90.00
_symmetry_space_group_name_H-M 'P 4 m m'
_symmetry_Int_Tables_number 99
loop_
_symmetry_equiv_pos_as_xyz
'x,y,z'
'-y,x,z'
'-x,-y,z'
'y,-x,z'
'-x,y,z'
'y,x,z'
'x,-y,z'
'-y,-x,z'
loop_
_atom_site_label
_atom_site_fract_x
_atom_site_fract_y
_atom_site_fract_z
K1 0.0000 0.0000 0.0000
Tl1 0.5000 0.5000 0.6887
Cd1 0.0000 0.0000 0.4734
Hg1 0.5000 0.5000 0.2724

# Ho2TmMgBi4 | Alexandria | PBE | relaxed
# M_tot: 0.0 μB/cell
# ΔH_f (0 K): -584 meV per atom
# Density: 9.106 g/cm³
data_Ho2TmMgBi4
_chemical_formula_sum 'Ho2 Tm1 Mg1 Bi4'
_cell_length_a 7.7144
_cell_length_b 4.4120
_cell_length_c 7.7346
_cell_angle_alpha 90.00
_cell_angle_beta 109.72
_cell_angle_gamma 90.00
_symmetry_space_group_name_H-M 'P 1 2/m 1'
_symmetry_Int_Tables_number 10
loop_
_symmetry_equiv_pos_as_xyz
'x,y,z'
'-x,-y,-z'
'-x,y,-z'
'x,-y,z'
loop_
_atom_site_label
_atom_site_fract_x
_atom_site_fract_y
_atom_site_fract_z
Ho1 0.0000 0.0000 0.0000
Ho2 0.0000 0.5000 0.5000
Tm1 0.5000 0.0000 0.5000
Mg1 0.5000 0.5000 0.0000
Bi1 0.2529 0.5000 0.2500
Bi2 0.2575 0.0000 0.7557

# K2BeSb | Alexandria | PBE | relaxed
# M_tot: 0.0 μB/cell
# Formation energy (no corrections): 453.6 meV per atom
# Density: 2.780 g/cm³
# E above lowest polymorph: 469.1 meV per atom
data_K2BeSb
_chemical_formula_sum 'K2 Be1 Sb1'
_cell_length_a 3.4908
_cell_length_b 3.4908
_cell_length_c 10.2420
_cell_angle_alpha 90.00
_cell_angle_beta 90.00
_cell_angle_gamma 90.00
_symmetry_space_group_name_H-M 'P 4/m m m'
_symmetry_Int_Tables_number 123
_symmetry_space_group_name_Hall '-P 4 2'
loop_
_atom_site_label
_atom_site_fract_x
_atom_site_fract_y
_atom_site_fract_z
K1 0.0000 0.0000 0.2442
Be1 0.5000 0.5000 0.0000
Sb1 0.5000 0.5000 0.5000

# InCuSn | Alexandria | PBE | relaxed
# M_tot: 0.0 μB/cell
# ΔH_f (0 K): 21 meV per atom
# Density: 7.521 g/cm³
data_InCuSn
_chemical_formula_sum 'In2 Cu2 Sn2'
_cell_length_a 4.1269
_cell_length_b 5.2238
_cell_length_c 6.5738
_cell_angle_alpha 77.17
_cell_angle_beta 72.11
_cell_angle_gamma 89.79
_symmetry_space_group_name_H-M 'P -1'
_symmetry_Int_Tables_number 2
loop_
_symmetry_equiv_pos_as_xyz
'x,y,z'
'-x,-y,-z'
loop_
_atom_site_label
_atom_site_fract_x
_atom_site_fract_y
_atom_site_fract_z
In1 0.0752 0.2823 0.3610
Cu1 0.2695 0.6491 0.9589
Sn1 0.3468 0.1786 0.8036

# LaCrPb2 | Alexandria | PBE | relaxed
# M_tot: 3.9 μB/cell
# ΔH_f (0 K): 44 meV per atom
# Density: 9.501 g/cm³
data_LaCrPb2
_chemical_formula_sum 'La1 Cr1 Pb2'
_cell_length_a 3.5912
_cell_length_b 3.5912
_cell_length_c 8.2026
_cell_angle_alpha 90.00
_cell_angle_beta 90.00
_cell_angle_gamma 90.00
_symmetry_space_group_name_H-M 'P 4/m m m'
_symmetry_Int_Tables_number 123
_symmetry_space_group_name_Hall '-P 4 2'
loop_
_atom_site_label
_atom_site_fract_x
_atom_site_fract_y
_atom_site_fract_z
La1 0.0000 0.0000 0.0000
Cr1 0.0000 0.0000 0.5000
Pb1 0.5000 0.5000 0.2870

# Nd6Sb2Te3S | Alexandria | PBE | relaxed
# M_tot: 0.0 μB/cell
# Formation energy (no corrections): -1462.2 meV per atom
# Density: 6.778 g/cm³
data_Nd6Sb2Te3S
_chemical_formula_sum 'Nd12 Sb4 Te6 S2'
_cell_length_a 19.5161
_cell_length_b 4.4128
_cell_length_c 8.9420
_cell_angle_alpha 90.00
_cell_angle_beta 104.18
_cell_angle_gamma 90.00
_symmetry_space_group_name_H-M 'C 1 2/m 1'
_symmetry_Int_Tables_number 12
loop_
_symmetry_equiv_pos_as_xyz
'x,y,z'
'-x,-y,-z'
'-x,y,-z'
'x,-y,z'
'x+1/2,y+1/2,z'
'-x+1/2,-y+1/2,-z'
'-x+1/2,y+1/2,-z'
'x+1/2,-y+1/2,z'
loop_
_atom_site_label
_atom_site_fract_x
_atom_site_fract_y
_atom_site_fract_z
Nd1 0.9995 0.0000 0.2171
Nd2 0.1502 0.5000 0.0789
Nd3 0.1673 0.5000 0.5784
Sb1 0.1657 0.0000 0.3318
Te1 0.0000 0.5000 0.5000
Te2 0.1717 0.0000 0.8374
S1 0.0000 0.5000 0.0000

# DyY2Er7 | Alexandria | PBE | relaxed
# M_tot: 0.0 μB/cell
# ΔH_f (0 K): 122 meV per atom
# Density: 8.038 g/cm³
# E above lowest polymorph: 0.0 meV per atom
data_DyY2Er7
_chemical_formula_sum 'Dy2 Y4 Er14'
_cell_length_a 6.0857
_cell_length_b 29.4909
_cell_length_c 3.4788
_cell_angle_alpha 90.00
_cell_angle_beta 90.49
_cell_angle_gamma 90.00
_symmetry_space_group_name_H-M 'C 1 2/m 1'
_symmetry_Int_Tables_number 12
loop_
_symmetry_equiv_pos_as_xyz
'x,y,z'
'-x,-y,-z'
'-x,y,-z'
'x,-y,z'
'x+1/2,y+1/2,z'
'-x+1/2,-y+1/2,-z'
'-x+1/2,y+1/2,-z'
'x+1/2,-y+1/2,z'
loop_
_atom_site_label
_atom_site_fract_x
_atom_site_fract_y
_atom_site_fract_z
Dy1 0.0000 0.0000 0.0000
Y1 0.0000 0.2077 0.5000
Er1 0.0000 0.3094 0.0000
Er2 0.0000 0.5000 0.5000
Er3 0.2457 0.0995 0.2683